(1)
# PBE Sm3Ru5N12, relaxed
data_Sm3Ru5N12
_chemical_formula_sum 'Sm24 Ru40 N96'
_symmetry_space_group_name_H-M 'I a -3 d'
_symmetry_Int_Tables_number 230
_symmetry_space_group_name_Hall '-I 4bd 2c 3'
_cell_length_a 12.747
_cell_length_b 12.747
_cell_length_c 12.747
_cell_angle_alpha 90.00
_cell_angle_beta 90.00
_cell_angle_gamma 90.00
loop_
_atom_site_label
_atom_site_type_symbol
_atom_site_fract_x
_atom_site_fract_y
_atom_site_fract_z
Sm1 Sm 0.000 0.250 0.125
Ru1 Ru 0.000 0.000 0.000
Ru2 Ru 0.000 0.250 0.375
N1 N 0.033 0.048 0.649
# Total magnetic moment   0.0 μB/f.u.
# Raw formation energy   -0.13 eV/atom

---

(2)
# PBE AcY15Tm4, relaxed
data_AcY15Tm4
_chemical_formula_sum 'Ac1 Y15 Tm4'
_symmetry_space_group_name_H-M 'P 4/m m m'
_symmetry_Int_Tables_number 123
_symmetry_space_group_name_Hall '-P 4 2'
_cell_length_a 5.063
_cell_length_b 5.063
_cell_length_c 25.382
_cell_angle_alpha 90.00
_cell_angle_beta 90.00
_cell_angle_gamma 90.00
loop_
_atom_site_label
_atom_site_type_symbol
_atom_site_fract_x
_atom_site_fract_y
_atom_site_fract_z
Ac1 Ac 0.000 0.000 0.000
Y1 Y 0.000 0.500 0.106
Y2 Y 0.000 0.500 0.303
Y3 Y 0.000 0.500 0.500
Y4 Y 0.500 0.500 0.000
Y5 Y 0.500 0.500 0.205
Y6 Y 0.500 0.500 0.401
Tm1 Tm 0.000 0.000 0.204
Tm2 Tm 0.000 0.000 0.401
# Total magnetic moment   0.0 μB/f.u.
# Energy   -5.9129 eV per atom

---

(3)
# PBE Ac4AlSi2, relaxed
data_Ac4AlSi2
_chemical_formula_sum 'Ac12 Al3 Si6'
_symmetry_space_group_name_H-M 'R -3 m'
_symmetry_Int_Tables_number 166
_symmetry_space_group_name_Hall '-R 3 2"'
_cell_length_a 5.2475
_cell_length_b 5.2475
_cell_length_c 29.8433
_cell_angle_alpha 90.00
_cell_angle_beta 90.00
_cell_angle_gamma 120.00
loop_
_atom_site_label
_atom_site_type_symbol
_atom_site_fract_x
_atom_site_fract_y
_atom_site_fract_z
Ac1 Ac 0.0000 0.0000 0.1203
Ac2 Ac 0.0000 0.0000 0.2940
Al1 Al 0.0000 0.0000 0.5000
Si1 Si 0.0000 0.0000 0.4052
# Total magnetic moment   0.0 μB/f.u.
# Raw formation energy   -0.28 eV/atom

---

(4)
# PBE InHgTe, relaxed
data_InHgTe
_chemical_formula_sum 'In4 Hg4 Te4'
_symmetry_space_group_name_H-M 'F m m 2'
_symmetry_Int_Tables_number 42
_symmetry_space_group_name_Hall 'F 2 -2'
_cell_length_a 4.104
_cell_length_b 5.099
_cell_length_c 16.845
_cell_angle_alpha 90.00
_cell_angle_beta 90.00
_cell_angle_gamma 90.00
loop_
_atom_site_label
_atom_site_type_symbol
_atom_site_fract_x
_atom_site_fract_y
_atom_site_fract_z
In1 In 0.000 0.000 0.000
Hg1 Hg 0.000 0.000 0.335
Te1 Te 0.000 0.000 0.657
# Offset from the most stable computed form   185.8 meV/atom
# Total magnetic moment   0.0 μB/f.u.
# Raw formation energy   0.02 eV/atom

---

(5)
# PBE Pm5Zn2Pb, relaxed
data_Pm5Zn2Pb
_chemical_formula_sum 'Pm20 Zn8 Pb4'
_symmetry_space_group_name_H-M 'I 4/m c m'
_symmetry_Int_Tables_number 140
_symmetry_space_group_name_Hall '-I 4 2c'
_cell_length_a 8.420
_cell_length_b 8.420
_cell_length_c 13.025
_cell_angle_alpha 90.00
_cell_angle_beta 90.00
_cell_angle_gamma 90.00
loop_
_atom_site_label
_atom_site_type_symbol
_atom_site_fract_x
_atom_site_fract_y
_atom_site_fract_z
Pm1 Pm 0.000 0.000 0.000
Pm2 Pm 0.153 0.347 0.144
Zn1 Zn 0.142 0.358 0.500
Pb1 Pb 0.000 0.000 0.250
# Total magnetic moment   0.0 μB/f.u.
# Energy   -4.0664 eV per atom

---

(6)
# PBE Li2TaSi, relaxed
data_Li2TaSi
_chemical_formula_sum 'Li4 Ta2 Si2'
_symmetry_space_group_name_H-M 'C 1 m 1'
_symmetry_Int_Tables_number 8
_cell_length_a 9.617
_cell_length_b 2.679
_cell_length_c 5.201
_cell_angle_alpha 90.00
_cell_angle_beta 107.92
_cell_angle_gamma 90.00
loop_
_symmetry_equiv_pos_as_xyz
'x,y,z'
'x,-y,z'
'x+1/2,y+1/2,z'
'x+1/2,-y+1/2,z'
loop_
_atom_site_label
_atom_site_type_symbol
_atom_site_fract_x
_atom_site_fract_y
_atom_site_fract_z
Li1 Li 0.000 0.000 0.000
Li2 Li 0.233 0.000 0.860
Ta1 Ta 0.443 0.000 0.468
Si1 Si 0.197 0.500 0.379
# Total magnetic moment   0.0 μB/f.u.
# Raw formation energy   0.07 eV/atom